Below is a relaxed structure of CsRb4Cl5, with properties calculated at the PBE level.

```
data_CsRb4Cl5
_cell_length_a 4.787
_cell_length_b 6.774
_cell_length_c 23.958
_cell_angle_alpha 90.00
_cell_angle_beta 90.00
_cell_angle_gamma 90.00
_symmetry_space_group_name_H-M 'I m m m'
_symmetry_Int_Tables_number 71
_symmetry_space_group_name_Hall '-I 2 2'
loop_
_atom_site_label
_atom_site_type_symbol
_atom_site_fract_x
_atom_site_fract_y
_atom_site_fract_z
_atom_site_occupancy
Cs1 Cs 0.000 0.000 0.000 1
Rb1 Rb 0.000 0.000 0.203 1
Rb2 Rb 0.000 0.000 0.398 1
Cl1 Cl 0.000 0.500 0.000 1
Cl2 Cl 0.000 0.500 0.199 1
Cl3 Cl 0.000 0.500 0.394 1
```

Computed properties:
Formation energy without anion corrections = -1.944 eV per atom
E_tot = -66.8 eV per cell
N(E_F) = 0.00 states/eV/f.u.
Crystal system = orthorhombic